(1)
A relaxed structure of CsClF3. Source: Alexandria, functional PBE.

Properties
The density of states at the Fermi level comes out at 0.30 states/eV/atom. As for the energy relative to the elements, uncorrected: -28.42 kcal/mol of atoms. The value obtained for the polymorph energy (0 for the lowest one) is 0.3173 eV per atom. The calculation puts the spin magnetization at 0.000 μB per formula unit. The value obtained for the total DFT energy (no corrections) is -14.48 eV/f.u.

```
CsClF3
1.0
-2.856 3.470 0.503
0.259 -0.438 4.494
3.497 2.867 0.078
Cs F Cl
1 3 1
direct
0.500 0.500 0.500 Cs
0.000 0.500 0.000 F
0.000 0.000 0.500 F
0.500 0.000 0.000 F
0.000 0.000 0.000 Cl
```

(2)
A relaxed structure of CsCl2F. Source: Alexandria, functional PBE.

Properties
The density of states at the Fermi level comes out at 0.00 states/eV/atom. As for the energy relative to the elements, uncorrected: -24.37 kcal/mol of atoms. The calculation puts the spin magnetization at 0.000 μB per formula unit. The value obtained for the total DFT energy (no corrections) is -10.64 eV/f.u.

```
CsCl2F
1.0
3.278 0.000 6.587
-1.639 2.839 6.587
-1.639 -2.839 6.587
Cs F Cl
1 1 2
direct
0.500 0.500 0.500 Cs
0.000 0.000 0.000 F
0.897 0.897 0.897 Cl
0.103 0.103 0.103 Cl
```

no.,calculated volume (A^3/atom)
1,18.5
2,46.0